Below is a relaxed structure of Ce2RuO, with properties calculated at the PBE level.

Unit cell a=3.5883 b=3.5883 c=20.9983 alpha=90.00 beta=90.00 gamma=120.00
Space group R3m (No. 160, hexagonal axes)
Symmetry-distinct sites (fractional):
1 Ce 0.0000 0.0000 0.0000
2 Ce 0.0000 0.0000 0.1550
3 Ru 0.0000 0.0000 0.5795
4 O 0.0000 0.0000 0.3991

* ΔE_f (raw): -1.231 eV per atom

---

Below is a relaxed structure of AlIn2Te, with properties calculated at the PBE level.

Unit cell a=6.644 b=6.644 c=12.855 alpha=90.00 beta=90.00 gamma=90.00
Space group I-42d (No. 122)
Symmetry-distinct sites (fractional):
1 Al 0.000 0.000 0.000
2 In 0.220 0.250 0.125
3 Te 0.000 0.000 0.500

* ΔE_f (raw): 0.069 eV per atom

---

Below is a relaxed structure of Pm5ErTl6, with properties calculated at the PBE level.

Unit cell a=9.435 b=16.408 c=5.465 alpha=90.00 beta=125.27 gamma=90.00
Space group C2/m (No. 12)
Symmetry-distinct sites (fractional):
1 Pm 0.000 0.000 0.000
2 Pm 0.000 0.165 0.500
3 Pm 0.000 0.330 0.000
4 Er 0.000 0.500 0.500
5 Tl 0.241 0.500 0.241
6 Tl 0.245 0.336 0.745

* final energy: -93.99 eV per cell

---

Below is a relaxed structure of Sc2IrPtRh, with properties calculated at the PBE level.

Unit cell a=4.835 b=4.835 c=4.657 alpha=90.00 beta=90.00 gamma=90.00
Space group P4/mmm (No. 123)
Symmetry-distinct sites (fractional):
1 Sc 0.000 0.500 0.000
2 Ir 0.000 0.000 0.500
3 Pt 0.500 0.500 0.500
4 Rh 0.000 0.000 0.000

* final energy: -33.65 eV per cell

---

Below is a relaxed structure of Pr3Nd3Y2, with properties calculated at the PBE level.

Unit cell a=5.922 b=14.858 c=6.408 alpha=90.00 beta=90.00 gamma=90.00
Space group Pmmn (No. 59, origin choice 2)
Symmetry-distinct sites (fractional):
1 Pr 0.250 0.000 0.168
2 Pr 0.250 0.250 0.174
3 Nd 0.250 0.125 0.670
4 Nd 0.250 0.750 0.160
5 Y 0.250 0.625 0.662

* final energy: -82.69 eV per cell

---

Below is a relaxed structure of KBaAg, with properties calculated at the PBE level.

Unit cell a=4.7040 b=4.7040 c=8.0694 alpha=90.00 beta=90.00 gamma=120.00
Space group P3m1 (No. 156)
Symmetry-distinct sites (fractional):
1 K 0.0000 0.0000 0.0000
2 Ba 0.3333 0.6667 0.5043
3 Ag 0.6667 0.3333 0.2642

* final energy: -5.90 eV per cell